# 1
This record from the Alexandria database describes a relaxed structure of U2AsN. The functional is PBE.

Computed properties:
* ΔE_f (raw): -0.639 eV per atom
* excess energy over the best structure of this formula in the dataset: 105 kJ/mol of formula units
* crystal system: trigonal

Cell and atoms, written as CIF:
```
data_U2AsN
_space_group_name_H-M_alt 'R 3 m'
_space_group_IT_number 160
_space_group_name_Hall 'R 3 -2"'
_cell_length_a 3.6755
_cell_length_b 3.6755
_cell_length_c 19.1492
_cell_angle_alpha 90.00
_cell_angle_beta 90.00
_cell_angle_gamma 120.00
loop_
_atom_site_label
_atom_site_type_symbol
_atom_site_fract_x
_atom_site_fract_y
_atom_site_fract_z
_atom_site_occupancy
U1 U 0.0000 0.0000 0.0000 1
U2 U 0.0000 0.0000 0.1275 1
As1 As 0.0000 0.0000 0.5660 1
N1 N 0.0000 0.0000 0.3954 1
```

=====

# 2
This record from the Alexandria database describes a relaxed structure of ZrSn2Au. The functional is PBE.

Computed properties:
* calculated formation energy: 0.1135 eV per atom
* excess energy over the best structure of this formula in the dataset: 172 kJ/mol of formula units
* crystal system: trigonal

Cell and atoms, written as CIF:
```
data_ZrSn2Au
_space_group_name_H-M_alt 'R -3 m'
_space_group_IT_number 166
_space_group_name_Hall '-R 3 2"'
_cell_length_a 3.3192
_cell_length_b 3.3192
_cell_length_c 30.7378
_cell_angle_alpha 90.00
_cell_angle_beta 90.00
_cell_angle_gamma 120.00
loop_
_atom_site_label
_atom_site_type_symbol
_atom_site_fract_x
_atom_site_fract_y
_atom_site_fract_z
_atom_site_occupancy
Zr1 Zr 0.0000 0.0000 0.0000 1
Sn1 Sn 0.0000 0.0000 0.0957 1
Au1 Au 0.0000 0.0000 0.5000 1
```